No. 1
{
  "formula": "Tl2GeN",
  "functional": "PBE",
  "state": "optimized geometry",
  "cell": [[0.000, 3.503, 3.503], [3.503, 0.000, 3.503], [3.503, 3.503, 0.000]],
  "species": ["Ge", "Tl", "Tl", "N"],
  "fractional_positions": [[0.500, 0.500, 0.500], [0.250, 0.250, 0.250], [0.750, 0.750, 0.750], [0.000, 0.000, 0.000]],
  "crystal_system": "cubic",
  "volume_a3_per_cell": 86.0,
  "space_group": "Fm-3m",
  "raw_formation_energy_mev_per_atom": 1168.4,
  "de_polymorph_mev_per_atom": 418,
  "dos_ef_per_ev_atom": 0.750
}

***

No. 2
{
  "formula": "TlGe2N",
  "functional": "PBE",
  "state": "optimized geometry",
  "cell": [[0.000, 3.338, 3.338], [3.338, 0.000, 3.338], [3.338, 3.338, 0.000]],
  "species": ["N", "Ge", "Ge", "Tl"],
  "fractional_positions": [[0.000, 0.000, 0.000], [0.750, 0.750, 0.750], [0.250, 0.250, 0.250], [0.500, 0.500, 0.500]],
  "crystal_system": "cubic",
  "volume_a3_per_cell": 74.4,
  "space_group": "Fm-3m",
  "raw_formation_energy_mev_per_atom": 1305.1,
  "de_polymorph_mev_per_atom": 812,
  "dos_ef_per_ev_atom": 0.696
}

***

No. 3
{
  "formula": "TmGeN",
  "functional": "PBE",
  "state": "optimized geometry",
  "cell": [[-2.352, 3.175, 0.141], [0.098, -0.142, 4.848], [4.282, 3.133, 0.858]],
  "species": ["Ge", "Ge", "Tm", "Tm", "N", "N"],
  "fractional_positions": [[0.250, 0.829, 0.042], [0.750, 0.171, 0.958], [0.250, 0.276, 0.370], [0.750, 0.724, 0.630], [0.750, 0.239, 0.587], [0.250, 0.761, 0.413]],
  "crystal_system": "monoclinic",
  "volume_a3_per_cell": 101.8,
  "space_group": "P2_1/m",
  "raw_formation_energy_mev_per_atom": -996.5,
  "dos_ef_per_ev_atom": 0.136
}

***

What is the formula in the second record? TlGe2N